VASP calculation (PBE-GGA) on an optimized crystal structure of Ti2AuO.

a b c (Å): 3.098 3.098 19.882
angles (deg): 90.00 90.00 120.00
Fractional coordinates of all 12 atoms:
Ti1 0.000 0.000 0.000
Ti2 0.000 0.000 0.221
Ti3 0.333 0.667 0.667
Ti4 0.333 0.667 0.887
Ti5 0.667 0.333 0.333
Ti6 0.667 0.333 0.554
Au1 0.000 0.000 0.778
Au2 0.333 0.667 0.444
Au3 0.667 0.333 0.111
O1 0.000 0.000 0.608
O2 0.333 0.667 0.275
O3 0.667 0.333 0.942

Properties
space group = No. 160
crystal system = trigonal
raw formation energy = -1.35 eV per atom
calculated volume = 55.1 Å³/f.u.
E = -7.351 eV/atom